First-principles (PBEsol) data for a relaxed structure of Rb3DyP2O8, as listed in Alexandria.

Geometry as extended XYZ:
```
14
Lattice="-0.819 -4.795 2.959 1.903 -0.252 -5.361 7.535 0.353 2.658" Properties=species:S:1:pos:R:3 pbc="T T T"
Rb 6.606 -1.504 -0.608
Rb 0.000 0.000 0.000
Rb 2.013 -3.191 0.865
O 3.957 -0.972 -2.920
O 4.662 -3.722 3.176
O 1.605 -1.738 -2.373
O 3.592 -3.108 -1.603
O 5.026 -1.587 1.859
O 7.014 -2.957 2.629
O 3.110 -0.860 -0.533
O 5.509 -3.835 0.789
Dy 3.767 0.176 1.329
P 5.582 -3.024 2.124
P 3.037 -1.671 -1.867
```

Output
Total magnetic moment (μB/f.u.): 0.001
Total energy (eV/atom): -7.001
E_form (uncorrected) (eV per formula unit): -36.381